(1)
## LiHg2Br (SCAN)

Data for a PBEsol-optimized structure of LiHg2Br.

```
LiHg2Br
1.0
-3.5844 -0.4604 -0.0742
0.0163 -0.6980 3.5465
-1.1100 8.3755 1.6535
Hg Br Li
2 1 1
Cartesian
-1.1047 8.3353 1.6456
-2.0285 1.2650 2.1003
-2.4868 4.7231 2.7830
-0.7232 5.4570 1.0773
```

Properties
* ΔE_f (raw): -0.748 eV/atom
* energy: -40.29 eV/atom
* ΔE to the lowest computed polymorph: 6 meV per atom

=====

(2)
## LiHgBr (SCAN)

Data for a PBEsol-optimized structure of LiHgBr.

```
LiHgBr
1.0
-1.7992 1.2247 2.8844
0.1609 -3.2855 1.4954
6.4786 2.6092 0.6700
Hg Br Li
1 1 1
Cartesian
0.9016 -0.5504 3.0595
3.8832 0.2814 4.5662
4.8957 1.3657 2.4740
```

Properties
* ΔE_f (raw): -1.004 eV/atom
* energy: -31.01 eV/atom

=====

(3)
## MgHgBr2 (SCAN)

Data for a PBEsol-optimized structure of MgHgBr2.

```
MgHgBr2
1.0
-0.1114 -0.0897 3.7678
-3.1525 -1.0734 1.7682
1.9328 -9.4394 1.7045
Br Hg Mg
2 1 1
Cartesian
0.3594 -6.5534 2.6775
-1.6905 -4.0492 4.5630
-1.6319 -0.5816 2.7680
0.9664 -4.7197 0.8523
```

Properties
* ΔE_f (raw): -1.215 eV/atom
* energy: -29.23 eV/atom
* ΔE to the lowest computed polymorph: 0 meV per atom

=====

(4)
## MgHgBr2 (SCAN)

Data for a PBEsol-optimized structure of MgHgBr2.

```
MgHgBr2
1.0
3.7830 0.0000 0.0000
0.0000 5.0992 0.0000
0.0000 0.0000 5.0992
Mg Hg Br
1 1 2
Cartesian
1.8915 0.0000 0.0000
1.8915 2.5496 2.5496
0.0000 2.5496 0.0000
0.0000 0.0000 2.5496
```

Properties
* ΔE_f (raw): -0.434 eV/atom
* energy: -28.45 eV/atom
* ΔE to the lowest computed polymorph: 780 meV per atom